1.
The following is a DFT calculation (PBE-GGA) of a relaxed KW crystal.

Energy above the lowest structure with this stoichiometry ... 2.313 eV per atom
SG ... Fm-3m, No. 225
DOS at the Fermi energy ... 0.1 states/eV per cell
E ... -3.789 eV per atom

Lattice parameters (Å, degrees): 5.085 5.085 5.085 60.00 60.00 60.00
Fractional positions:
K 0.000 0.000 0.000
W 0.500 0.500 0.500



2.
The following is a DFT calculation (PBE-GGA) of a relaxed Pm5GeSe5 crystal.

Uncorrected formation energy ... -1.7390 eV/atom
SG ... C2/m, No. 12
DOS at the Fermi energy ... 2.4 states/eV per cell
E ... -5.902 eV per atom

Lattice parameters (Å, degrees): 7.309 7.309 8.413 106.70 106.70 47.93
Fractional positions:
Pm 0.000 0.000 0.000
Pm 0.337 0.337 0.668
Pm 0.340 0.340 0.172
Pm 0.660 0.660 0.828
Pm 0.663 0.663 0.332
Ge 0.500 0.500 0.000
Se 0.169 0.169 0.334
Se 0.170 0.170 0.837
Se 0.500 0.500 0.500
Se 0.830 0.830 0.163
Se 0.831 0.831 0.666



3.
The following is a DFT calculation (PBE-GGA) of a relaxed LiTcIr2 crystal.

Energy above the lowest structure with this stoichiometry ... 0.036 eV per atom
SG ... Cm, No. 8
DOS at the Fermi energy ... 3.4 states/eV per cell
E ... -7.579 eV per atom

Lattice parameters (Å, degrees): 4.701 4.701 4.673 98.36 98.36 33.41
Fractional positions:
Li 0.000 0.000 0.000
Tc 0.233 0.233 0.702
Ir 0.487 0.487 0.500
Ir 0.755 0.755 0.192



4.
The following is a DFT calculation (PBE-GGA) of a relaxed La4Nd3Sm4 crystal.

Energy above the lowest structure with this stoichiometry ... 0.015 eV per atom
SG ... Amm2, No. 38
DOS at the Fermi energy ... 19.7 states/eV per cell
E ... -4.672 eV per atom

Lattice parameters (Å, degrees): 10.965 6.767 6.767 51.43 90.00 90.00
Fractional positions:
La 0.000 0.000 0.000
La 0.206 0.803 0.803
La 0.500 0.924 0.924
La 0.794 0.803 0.803
Nd 0.000 0.294 0.294
Nd 0.293 0.453 0.453
Nd 0.707 0.453 0.453
Sm 0.000 0.594 0.594
Sm 0.305 0.149 0.149
Sm 0.500 0.648 0.648
Sm 0.695 0.149 0.149



5.
The following is a DFT calculation (PBE-GGA) of a relaxed Y2InCu crystal.

SG ... R-3m, No. 166
DOS at the Fermi energy ... 5.7 states/eV per cell
E ... -5.111 eV per atom

Lattice parameters (Å, degrees): 8.873 8.873 8.873 24.61 24.61 24.61
Fractional positions:
Y 0.238 0.238 0.238
Y 0.762 0.762 0.762
In 0.000 0.000 0.000
Cu 0.500 0.500 0.500



6.
The following is a DFT calculation (PBE-GGA) of a relaxed Tm2ThTc crystal.

Energy above the lowest structure with this stoichiometry ... 0.491 eV per atom
SG ... R-3m, No. 166
DOS at the Fermi energy ... 6.1 states/eV per cell
E ... -6.380 eV per atom

Lattice parameters (Å, degrees): 5.289 5.289 5.289 56.84 56.84 56.84
Fractional positions:
Tm 0.240 0.240 0.240
Tm 0.760 0.760 0.760
Th 0.000 0.000 0.000
Tc 0.500 0.500 0.500